A geometry-optimized BeAl2Tc structure. Source: Alexandria, functional PBE-GGA.

Calculated values
- V (A^3/atom) = 13.7
- total DFT energy (no corrections) (eV per atom) = -5.316
- space-group type = No. 123
- M_tot (Bohr magnetons per cell) = 0.01

Cell lengths 2.6933, 2.6933, 7.5318 Å; angles 90.00, 90.00, 90.00 degrees
With the nearest neighbours (Å) after each atom.
Fractional positions:
1 Be 0.0000 0.0000 0.0000  8 Al 2.60, 4 Be 2.69
2 Al 0.5000 0.5000 0.2354  4 Be 2.60, 4 Al 2.69, 4 Tc 2.76
3 Al 0.5000 0.5000 0.7646  4 Be 2.60, 4 Al 2.69, 4 Tc 2.76
4 Tc 0.0000 0.0000 0.5000  4 Tc 2.69, 8 Al 2.76

A geometry-optimized Y3OF structure. Source: Alexandria, functional PBE-GGA.

Calculated values
- uncorrected formation energy (meV/atom) = -1207
- V (A^3/atom) = 21.5
- total DFT energy (no corrections) (eV per atom) = -6.452
- relative energy among the computed polymorphs (eV per atom) = 0.000
- space-group type = No. 221
- M_tot (Bohr magnetons per cell) = 0.00

Cell lengths 4.7563, 4.7563, 4.7563 Å; angles 90.00, 90.00, 90.00 degrees
With the nearest neighbours (Å) after each atom.
Fractional positions:
1 Y 0.0000 0.0000 0.5000  2 O 2.38
2 Y 0.0000 0.5000 0.0000  2 O 2.38
3 Y 0.5000 0.0000 0.0000  2 O 2.38
4 O 0.0000 0.0000 0.0000  6 Y 2.38
5 F 0.5000 0.5000 0.5000  12 Y 3.36

A geometry-optimized Ca2VCoB structure. Source: Alexandria, functional PBE-GGA.

Calculated values
- V (A^3/atom) = 24.6
- total DFT energy (no corrections) (eV per atom) = -4.159
- space-group type = No. 123
- M_tot (Bohr magnetons per cell) = 4.94

Cell lengths 5.5591, 5.5591, 3.9739 Å; angles 90.00, 90.00, 90.00 degrees
With the nearest neighbours (Å) after each atom.
Fractional positions:
1 Ca 0.0000 0.5000 0.0000  2 V 2.78
2 Ca 0.5000 0.0000 0.0000  2 V 2.78
3 V 0.0000 0.0000 0.0000  2 B 1.99
4 Co 0.5000 0.5000 0.5000  8 Ca 3.42
5 B 0.0000 0.0000 0.5000  2 V 1.99

A geometry-optimized HoSi3Ni3 structure. Source: Alexandria, functional PBE-GGA.

Calculated values
- uncorrected formation energy (meV/atom) = -265
- V (A^3/atom) = 17.0
- total DFT energy (no corrections) (eV per atom) = -5.721
- space-group type = No. 223
- M_tot (Bohr magnetons per cell) = 0.00

Cell lengths 6.1924, 6.1924, 6.1924 Å; angles 90.00, 90.00, 90.00 degrees
With the nearest neighbours (Å) after each atom.
Fractional positions:
1 Ho 0.0000 0.0000 0.0000  12 Ni 3.46, 12 Si 3.46
2 Ho 0.5000 0.5000 0.5000  12 Ni 3.46, 12 Si 3.46
3 Si 0.0000 0.2500 0.5000  4 Ni 2.19
4 Si 0.0000 0.7500 0.5000  4 Ni 2.19
5 Si 0.2500 0.5000 0.0000  4 Ni 2.19
6 Si 0.5000 0.0000 0.2500  4 Ni 2.19
7 Si 0.5000 0.0000 0.7500  4 Ni 2.19
8 Si 0.7500 0.5000 0.0000  4 Ni 2.19
9 Ni 0.0000 0.5000 0.2500  4 Si 2.19
10 Ni 0.0000 0.5000 0.7500  4 Si 2.19
11 Ni 0.2500 0.0000 0.5000  4 Si 2.19
12 Ni 0.5000 0.2500 0.0000  4 Si 2.19
13 Ni 0.5000 0.7500 0.0000  4 Si 2.19
14 Ni 0.7500 0.0000 0.5000  4 Si 2.19

A geometry-optimized BaTl4I6 structure. Source: Alexandria, functional PBE-GGA.

Calculated values
- uncorrected formation energy (meV/atom) = -959
- V (A^3/atom) = 46.0
- total DFT energy (no corrections) (eV per atom) = -2.839
- space-group type = No. 63
- M_tot (Bohr magnetons per cell) = 0.00

Cell lengths 8.6797, 8.6797, 24.8371 Å; angles 90.00, 90.00, 147.29 degrees
With the nearest neighbours (Å) after each atom.
Fractional positions:
1 Ba 0.1592 0.8408 0.7500  6 I 3.47-3.59
2 Ba 0.8408 0.1592 0.2500  6 I 3.47-3.59
3 Tl 0.0923 0.9077 0.1285  6 I 3.45-3.66
4 Tl 0.0923 0.9077 0.3715  6 I 3.45-3.66
5 Tl 0.3577 0.6423 0.0394  6 I 3.46-3.71
6 Tl 0.3577 0.6423 0.4606  6 I 3.46-3.71
7 Tl 0.6423 0.3577 0.5394  6 I 3.46-3.71
8 Tl 0.6423 0.3577 0.9606  6 I 3.46-3.71
9 Tl 0.9077 0.0923 0.6285  6 I 3.45-3.66
10 Tl 0.9077 0.0923 0.8715  6 I 3.45-3.66
11 I 0.0000 0.0000 0.0000  6 Tl 3.54
12 I 0.0000 0.0000 0.5000  6 Tl 3.54
13 I 0.1930 0.8070 0.2500  2 Tl 3.45, 2 Ba 3.47
14 I 0.2672 0.7328 0.5972  5 Tl 3.47-3.71
15 I 0.2672 0.7328 0.9028  5 Tl 3.47-3.71
16 I 0.4393 0.5607 0.1675  3 Tl 3.46-3.66, 2 Ba 3.59
17 I 0.4393 0.5607 0.3325  3 Tl 3.46-3.66, 2 Ba 3.59
18 I 0.5607 0.4393 0.6675  3 Tl 3.46-3.66, 2 Ba 3.59
19 I 0.5607 0.4393 0.8325  3 Tl 3.46-3.66, 2 Ba 3.59
20 I 0.7328 0.2672 0.0972  5 Tl 3.47-3.71
21 I 0.7328 0.2672 0.4028  5 Tl 3.47-3.71
22 I 0.8070 0.1930 0.7500  2 Tl 3.45, 2 Ba 3.47

A geometry-optimized Ac2GaAg3 structure. Source: Alexandria, functional PBE-GGA.

Calculated values
- V (A^3/atom) = 26.8
- total DFT energy (no corrections) (eV per atom) = -3.671
- relative energy among the computed polymorphs (eV per atom) = 0.000
- space-group type = No. 25
- M_tot (Bohr magnetons per cell) = 0.00

Cell lengths 3.9751, 4.8028, 8.4382 Å; angles 90.00, 90.00, 90.00 degrees
With the nearest neighbours (Å) after each atom.
Fractional positions:
1 Ac 0.0000 0.0000 0.0000  2 Ga 3.41, 10 Ag 3.41-3.52
2 Ac 0.0000 0.5000 0.4985  8 Ag 3.38-3.47, 4 Ga 3.43
3 Ga 0.5000 0.0000 0.3283  3 Ag 2.73-2.76
4 Ag 0.5000 0.0000 0.6551  1 Ga 2.76, 2 Ag 2.85
5 Ag 0.5000 0.5000 0.1743  2 Ga 2.73, 1 Ag 2.85
6 Ag 0.5000 0.5000 0.8363  3 Ag 2.85

A geometry-optimized Ta6NbRh5 structure. Source: Alexandria, functional PBE-GGA.

Calculated values
- V (A^3/atom) = 16.5
- total DFT energy (no corrections) (eV per atom) = -10.170
- space-group type = No. 10
- M_tot (Bohr magnetons per cell) = 0.00

Cell lengths 4.7102, 6.1586, 7.0654 Å; angles 90.00, 105.26, 90.00 degrees
With the nearest neighbours (Å) after each atom.
Fractional positions:
1 Ta 0.0000 0.2482 0.0000  6 Rh 2.67-2.81, 2 Nb 2.82
2 Ta 0.0000 0.7518 0.0000  6 Rh 2.67-2.81, 2 Nb 2.82
3 Ta 0.3720 0.2511 0.6579  7 Rh 2.75-2.89, 1 Nb 2.79, 2 Ta 2.80-3.07
4 Ta 0.3720 0.7489 0.6579  7 Rh 2.75-2.89, 1 Nb 2.79, 2 Ta 2.80-3.07
5 Ta 0.6280 0.2511 0.3421  7 Rh 2.75-2.89, 1 Nb 2.79, 2 Ta 2.80-3.07
6 Ta 0.6280 0.7489 0.3421  7 Rh 2.75-2.89, 1 Nb 2.79, 2 Ta 2.80-3.07
7 Nb 0.5000 0.5000 0.0000  8 Ta 2.79-2.82, 2 Rh 3.08
8 Rh 0.1021 0.0000 0.3201  8 Ta 2.67-2.89, 1 Rh 2.95
9 Rh 0.1121 0.5000 0.3258  8 Ta 2.71-2.85, 1 Rh 2.92
10 Rh 0.5000 0.0000 0.0000  8 Ta 2.80-2.81, 2 Nb 3.08, 2 Rh 3.13
11 Rh 0.8879 0.5000 0.6742  8 Ta 2.71-2.85, 1 Rh 2.92
12 Rh 0.8979 0.0000 0.6799  8 Ta 2.67-2.89, 1 Rh 2.95

A geometry-optimized ScTeAs3 structure. Source: Alexandria, functional PBE-GGA.

Calculated values
- uncorrected formation energy (meV/atom) = 306
- V (A^3/atom) = 26.9
- total DFT energy (no corrections) (eV per atom) = -4.378
- relative energy among the computed polymorphs (eV per atom) = 0.000
- space-group type = No. 221
- M_tot (Bohr magnetons per cell) = 0.00

Cell lengths 5.1223, 5.1223, 5.1223 Å; angles 90.00, 90.00, 90.00 degrees
With the nearest neighbours (Å) after each atom.
Fractional positions:
1 Sc 0.0000 0.0000 0.0000  6 As 2.56
2 Te 0.5000 0.5000 0.5000  12 As 3.62
3 As 0.0000 0.0000 0.5000  2 Sc 2.56
4 As 0.0000 0.5000 0.0000  2 Sc 2.56
5 As 0.5000 0.0000 0.0000  2 Sc 2.56

Which value of M_tot does entry 4 give?
0.00 Bohr magnetons per cell

Please write out number 2 again, unchanged.
A geometry-optimized Y3OF structure. Source: Alexandria, functional PBE-GGA.

Calculated values
- uncorrected formation energy (meV/atom) = -1207
- V (A^3/atom) = 21.5
- total DFT energy (no corrections) (eV per atom) = -6.452
- relative energy among the computed polymorphs (eV per atom) = 0.000
- space-group type = No. 221
- M_tot (Bohr magnetons per cell) = 0.00

Cell lengths 4.7563, 4.7563, 4.7563 Å; angles 90.00, 90.00, 90.00 degrees
With the nearest neighbours (Å) after each atom.
Fractional positions:
1 Y 0.0000 0.0000 0.5000  2 O 2.38
2 Y 0.0000 0.5000 0.0000  2 O 2.38
3 Y 0.5000 0.0000 0.0000  2 O 2.38
4 O 0.0000 0.0000 0.0000  6 Y 2.38
5 F 0.5000 0.5000 0.5000  12 Y 3.36

Among the records above, which one has the highest total DFT energy (no corrections)?
BaTl4I6

Which of these has the lowest V?
BeAl2Tc